(1)
# GGA-PBE TbDy3Tm, optimized geometry
# Distance to the lowest polymorph of the same formula in meV per atom: 0
# Formation energy from the elements in eV/atom: 0.007
data_TbDy3Tm
_chemical_formula_sum 'Tb2 Dy6 Tm2'
_cell_length_a 6.236
_cell_length_b 6.668
_cell_length_c 9.137
_cell_angle_alpha 72.27
_cell_angle_beta 89.99
_cell_angle_gamma 62.17
_space_group_name_H-M_alt 'P -1'
_space_group_IT_number 2
loop_
_space_group_symop_operation_xyz
'x,y,z'
'-x,-y,-z'
loop_
_atom_site_label
_atom_site_type_symbol
_atom_site_fract_x
_atom_site_fract_y
_atom_site_fract_z
Tb1 Tb 0.033 0.101 0.151
Dy1 Dy 0.167 0.499 0.250
Dy2 Dy 0.233 0.699 0.549
Dy3 Dy 0.435 0.299 0.948
Tm1 Tm 0.366 0.099 0.649

(2)
# GGA-PBE Tb6Dy4Tm, optimized geometry
# Distance to the lowest polymorph of the same formula in meV per atom: 0
# Formation energy from the elements in eV/atom: 0.129
data_Tb6Dy4Tm
_chemical_formula_sum 'Tb24 Dy16 Tm4'
_cell_length_a 5.710
_cell_length_b 9.568
_cell_length_c 25.439
_cell_angle_alpha 90.00
_cell_angle_beta 90.00
_cell_angle_gamma 90.00
_space_group_name_H-M_alt 'C m c m'
_space_group_IT_number 63
_space_group_name_Hall '-C 2c 2'
loop_
_atom_site_label
_atom_site_type_symbol
_atom_site_fract_x
_atom_site_fract_y
_atom_site_fract_z
Tb1 Tb 0.000 0.000 0.000
Tb2 Tb 0.000 0.035 0.250
Tb3 Tb 0.000 0.302 0.605
Tb4 Tb 0.000 0.368 0.182
Dy1 Dy 0.000 0.039 0.122
Dy2 Dy 0.000 0.348 0.043
Tm1 Tm 0.000 0.301 0.750

(3)
# GGA-PBE Tb2DyTm, optimized geometry
# Distance to the lowest polymorph of the same formula in meV per atom: 13
# Formation energy from the elements in eV/atom: 0.021
data_Tb2DyTm
_chemical_formula_sum 'Tb2 Dy1 Tm1'
_cell_length_a 4.996
_cell_length_b 4.996
_cell_length_c 4.989
_cell_angle_alpha 90.00
_cell_angle_beta 90.00
_cell_angle_gamma 90.00
_space_group_name_H-M_alt 'P 4/m m m'
_space_group_IT_number 123
_space_group_name_Hall '-P 4 2'
loop_
_atom_site_label
_atom_site_type_symbol
_atom_site_fract_x
_atom_site_fract_y
_atom_site_fract_z
Tb1 Tb 0.000 0.500 0.000
Dy1 Dy 0.000 0.000 0.500
Tm1 Tm 0.500 0.500 0.500

(4)
# GGA-PBE Tb4Dy2Tm3, optimized geometry
# Distance to the lowest polymorph of the same formula in meV per atom: 47
# Formation energy from the elements in eV/atom: 0.096
data_Tb4Dy2Tm3
_chemical_formula_sum 'Tb16 Dy8 Tm12'
_cell_length_a 15.944
_cell_length_b 11.527
_cell_length_c 6.105
_cell_angle_alpha 90.00
_cell_angle_beta 95.72
_cell_angle_gamma 90.00
_space_group_name_H-M_alt 'C 1 2/c 1'
_space_group_IT_number 15
loop_
_space_group_symop_operation_xyz
'x,y,z'
'-x,-y,-z'
'-x,y,-z+1/2'
'x,-y,z+1/2'
'x+1/2,y+1/2,z'
'-x+1/2,-y+1/2,-z'
'-x+1/2,y+1/2,-z+1/2'
'x+1/2,-y+1/2,z+1/2'
loop_
_atom_site_label
_atom_site_type_symbol
_atom_site_fract_x
_atom_site_fract_y
_atom_site_fract_z
Tb1 Tb 0.047 0.142 0.013
Tb2 Tb 0.213 0.357 0.846
Dy1 Dy 0.119 0.358 0.320
Tm1 Tm 0.000 0.403 0.750
Tm2 Tm 0.167 0.097 0.582